No. 1
# Sr2MgAu

A PBEsol-optimized structure of Sr2MgAu (meta-GGA SCAN, Alexandria).

For the formation energy, the calculation gives -518 meV/atom. Its magnetic moment is 0.04 μB per formula unit. The space group is Amm2, No. 38.

Cell lengths 4.556, 4.703, 6.480 Å; angles 111.28, 90.00, 90.00 degrees
Fractional coordinates of all 4 atoms:
Sr 0.000 0.976 0.952
Sr 0.500 0.267 0.534
Mg 0.500 0.567 0.134
Au 0.000 0.691 0.381

No. 2
# MgTaAu2

A PBEsol-optimized structure of MgTaAu2 (meta-GGA SCAN, Alexandria).

For the formation energy, the calculation gives 40 meV/atom. Its magnetic moment is 0.00 μB per formula unit. The space group is F-43m, No. 216.

Cell lengths 4.574, 4.574, 4.574 Å; angles 60.00, 60.00, 60.00 degrees
Fractional coordinates of all 4 atoms:
Au 0.000 0.000 0.000
Au 0.750 0.750 0.750
Mg 0.500 0.500 0.500
Ta 0.250 0.250 0.250